Entry from Alexandria via LeMat-Bulk: a relaxed structure of BaYSCl2 (PBE-GGA).

Output
The space group is P4/mmm, No. 123. The calculation puts the mass density at 2.8 g cm⁻³. Its uncorrected energy is -20.9 eV/cell.

Cell: 5.664 5.664 6.126 Å, 90.00 90.00 90.00°
Atoms (fractional coordinates):
Cl  0.500  0.000  0.000
Cl  0.000  0.500  0.000
Ba  0.000  0.000  0.000
Y  0.500  0.500  0.500
S  0.000  0.000  0.500



Entry from Alexandria via LeMat-Bulk: a relaxed structure of BaZnS2Cl (PBE-GGA).

Output
The space group is P4/mmm, No. 123. The calculation puts the mass density at 2.1 g cm⁻³. Its uncorrected energy is -13.8 eV/cell.

Cell: 6.381 6.381 5.944 Å, 90.00 90.00 90.00°
Atoms (fractional coordinates):
S  0.500  0.000  0.000
S  0.000  0.500  0.000
Cl  0.000  0.000  0.500
Zn  0.500  0.500  0.500
Ba  0.000  0.000  0.000



Entry from Alexandria via LeMat-Bulk: a relaxed structure of BaZnSCl2 (PBE-GGA).

Output
The space group is P4/mmm, No. 123. The calculation puts the mass density at 4.2 g cm⁻³. Its uncorrected energy is -18.5 eV/cell.

Cell: 5.017 5.017 4.838 Å, 90.00 90.00 90.00°
Atoms (fractional coordinates):
S  0.000  0.000  0.500
Zn  0.000  0.000  0.000
Cl  0.000  0.500  0.000
Cl  0.500  0.000  0.000
Ba  0.500  0.500  0.500



Entry from Alexandria via LeMat-Bulk: a relaxed structure of BaZnS2Cl (PBE-GGA).

Output
The space group is P4/mmm, No. 123. The calculation puts the mass density at 4.2 g cm⁻³. Its uncorrected energy is -19.1 eV/cell.

Cell: 4.747 4.747 5.292 Å, 90.00 90.00 90.00°
Atoms (fractional coordinates):
S  0.000  0.500  0.000
S  0.500  0.000  0.000
Zn  0.000  0.000  0.000
Cl  0.000  0.000  0.500
Ba  0.500  0.500  0.500



Entry from Alexandria via LeMat-Bulk: a relaxed structure of BaZnSCl2 (PBE-GGA).

Output
The space group is P4/mmm, No. 123. The calculation puts the mass density at 2.2 g cm⁻³. Its uncorrected energy is -14.3 eV/cell.

Cell: 5.983 5.983 6.546 Å, 90.00 90.00 90.00°
Atoms (fractional coordinates):
Zn  0.500  0.500  0.500
Cl  0.000  0.500  0.000
Cl  0.500  0.000  0.000
S  0.000  0.000  0.500
Ba  0.000  0.000  0.000



Entry from Alexandria via LeMat-Bulk: a relaxed structure of BaZrS2Cl (PBE-GGA).

Output
The space group is P4/mmm, No. 123. The calculation puts the mass density at 4.2 g cm⁻³. Its uncorrected energy is -29.4 eV/cell.

Cell: 5.080 5.080 5.028 Å, 90.00 90.00 90.00°
Atoms (fractional coordinates):
S  0.000  0.500  0.000
S  0.500  0.000  0.000
Zr  0.000  0.000  0.000
Ba  0.500  0.500  0.500
Cl  0.000  0.000  0.500



Question: The highest uncorrected energy belongs to which entry?
Answer: number 2



Repeat the second record exactly.
Entry from Alexandria via LeMat-Bulk: a relaxed structure of BaZnS2Cl (PBE-GGA).

Output
The space group is P4/mmm, No. 123. The calculation puts the mass density at 2.1 g cm⁻³. Its uncorrected energy is -13.8 eV/cell.

Cell: 6.381 6.381 5.944 Å, 90.00 90.00 90.00°
Atoms (fractional coordinates):
S  0.500  0.000  0.000
S  0.000  0.500  0.000
Cl  0.000  0.000  0.500
Zn  0.500  0.500  0.500
Ba  0.000  0.000  0.000